Compound: Sr20V15O49
Source: Alexandria
Functional: PBE+U
Structure: relaxed

Calculated values
Electronic total energy, eV/atom: -7.155

```
data_Sr20V15O49
_chemical_formula_sum 'Sr40 V30 O98'
_symmetry_space_group_name_H-M 'I 4'
_symmetry_Int_Tables_number 79
_symmetry_space_group_name_Hall 'I 4'
_cell_length_a 8.777
_cell_length_b 8.777
_cell_length_c 28.316
_cell_angle_alpha 90.00
_cell_angle_beta 90.00
_cell_angle_gamma 90.00
loop_
_atom_site_label
_atom_site_fract_x
_atom_site_fract_y
_atom_site_fract_z
Sr1 0.000 0.000 0.000
Sr2 0.000 0.000 0.133
Sr3 0.000 0.000 0.266
Sr4 0.000 0.000 0.401
Sr5 0.100 0.301 0.497
Sr6 0.102 0.308 0.902
Sr7 0.103 0.312 0.630
Sr8 0.104 0.309 0.768
V1 0.000 0.000 0.558
V2 0.000 0.000 0.693
V3 0.000 0.000 0.849
V4 0.100 0.300 0.200
V5 0.103 0.299 0.338
V6 0.104 0.299 0.059
O1 0.000 0.000 0.486
O2 0.000 0.000 0.632
O3 0.000 0.000 0.911
O4 0.000 0.500 0.061
O5 0.000 0.500 0.201
O6 0.000 0.500 0.335
O7 0.091 0.797 0.064
O8 0.093 0.814 0.707
O9 0.094 0.807 0.834
O10 0.098 0.797 0.198
O11 0.099 0.294 0.267
O12 0.101 0.311 0.408
O13 0.102 0.293 0.990
O14 0.105 0.802 0.339
O15 0.107 0.799 0.560
O16 0.114 0.310 0.134
```